# CaPrIrO6

Crystalline CaPrIrO6 at its relaxed geometry (PBE-GGA, Alexandria).

Lattice parameters (Å, degrees): 5.592 5.592 9.816 90.00 90.00 120.00
Sites, in units of the cell vectors:
Ca: 0.333 0.667 0.250
Ca: 0.667 0.333 0.750
Pr: 0.000 0.000 0.000
Pr: 0.000 0.000 0.500
Ir: 0.333 0.667 0.750
Ir: 0.667 0.333 0.250
O: 0.054 0.381 0.638
O: 0.054 0.673 0.862
O: 0.327 0.381 0.862
O: 0.327 0.946 0.638
O: 0.381 0.054 0.138
O: 0.381 0.327 0.362
O: 0.619 0.673 0.638
O: 0.619 0.946 0.862
O: 0.673 0.054 0.362
O: 0.673 0.619 0.138
O: 0.946 0.327 0.138
O: 0.946 0.619 0.362

Summary:
E	-0.5071	Ry per atom
space-group type	P-31c, No. 163
N(E_F)	5.71	states/eV/f.u.



# CaPr2IrO6

Crystalline CaPr2IrO6 at its relaxed geometry (PBE-GGA, Alexandria).

Lattice parameters (Å, degrees): 5.653 6.003 9.856 90.00 124.11 90.00
Sites, in units of the cell vectors:
Ca: 0.000 0.000 0.000
Ca: 0.000 0.500 0.500
Pr: 0.272 0.066 0.749
Pr: 0.272 0.434 0.249
Pr: 0.728 0.566 0.751
Pr: 0.728 0.934 0.251
Ir: 0.500 0.000 0.500
Ir: 0.500 0.500 0.000
O: 0.148 0.047 0.268
O: 0.148 0.453 0.768
O: 0.265 0.687 0.057
O: 0.265 0.813 0.557
O: 0.390 0.213 0.065
O: 0.390 0.287 0.565
O: 0.610 0.713 0.435
O: 0.610 0.787 0.935
O: 0.735 0.187 0.443
O: 0.735 0.313 0.943
O: 0.852 0.547 0.232
O: 0.852 0.953 0.732

Summary:
E	-0.5504	Ry per atom
space-group type	P2_1/c, No. 14
N(E_F)	6.69	states/eV/f.u.



# Rb2CaIrO4

Crystalline Rb2CaIrO4 at its relaxed geometry (PBE-GGA, Alexandria).

Lattice parameters (Å, degrees): 13.267 11.617 7.782 83.81 60.52 35.67
Sites, in units of the cell vectors:
Rb: 0.062 0.062 0.688
Rb: 0.312 0.312 0.938
Rb: 0.688 0.688 0.062
Rb: 0.938 0.938 0.312
Ca: 0.125 0.125 0.125
Ca: 0.875 0.875 0.875
Ir: 0.375 0.375 0.375
Ir: 0.625 0.625 0.625
O: 0.058 0.688 0.500
O: 0.253 0.500 0.688
O: 0.312 0.942 0.747
O: 0.500 0.253 0.058
O: 0.500 0.747 0.942
O: 0.688 0.058 0.253
O: 0.747 0.500 0.312
O: 0.942 0.312 0.500

Summary:
E	-0.3971	Ry per atom
space-group type	Fddd, No. 70
N(E_F)	0.32	states/eV/f.u.